DFT (PBE-GGA) results for Ba2H3Rh after structural relaxation.

Calculated values
Its space group is C2/c, No. 15. Its magnetic moment is 0.00 μB/atom. The value obtained for the total DFT energy (no corrections) is -3.94 eV per atom.

Cell: 5.516 5.516 10.062 Å, 110.40 110.40 72.32°
Fractional coordinates of all 12 atoms:
Ba 0.119 0.620 0.869
Ba 0.380 0.881 0.631
Ba 0.620 0.119 0.369
Ba 0.881 0.380 0.131
H 0.031 0.969 0.250
H 0.373 0.428 0.114
H 0.428 0.373 0.614
H 0.572 0.627 0.386
H 0.627 0.572 0.886
H 0.969 0.031 0.750
Rh 0.292 0.708 0.250
Rh 0.708 0.292 0.750